# Ag3AsSe3

An optimized crystal structure of Ag3AsSe3 (GGA-PBE, OQMD via LeMat-Bulk).

Cell lengths 8.1597, 11.4703, 20.9967 Å; angles 90.00, 90.00, 90.00 degrees
With the nearest neighbours (Å) after each atom.
Atoms (fractional coordinates):
Ag: 0.1247 0.0356 0.0597  3 Se 2.64-2.75
Ag: 0.1247 0.4644 0.0597  3 Se 2.64-2.75
Ag: 0.1487 0.5169 0.6772  3 Se 2.66-2.83
Ag: 0.1487 0.9831 0.6772  3 Se 2.66-2.83
Ag: 0.1662 0.6101 0.2843  4 Se 2.68-2.83
Ag: 0.1662 0.8899 0.2843  4 Se 2.68-2.83
Ag: 0.2177 0.0691 0.4446  3 Se 2.61-2.70
Ag: 0.2177 0.4309 0.4446  3 Se 2.61-2.70
Ag: 0.2301 0.2500 0.1305  2 Se 2.69-2.72, 2 Ag 3.00
Ag: 0.2699 0.7500 0.6305  2 Se 2.69-2.72, 2 Ag 3.00
Ag: 0.2823 0.5691 0.9446  3 Se 2.61-2.70
Ag: 0.2823 0.9309 0.9446  3 Se 2.61-2.70
Ag: 0.3338 0.1101 0.7843  4 Se 2.68-2.83
Ag: 0.3338 0.3899 0.7843  4 Se 2.68-2.83
Ag: 0.3513 0.0169 0.1772  3 Se 2.66-2.83
Ag: 0.3513 0.4831 0.1772  3 Se 2.66-2.83
Ag: 0.3753 0.5356 0.5597  3 Se 2.64-2.75
Ag: 0.3753 0.9644 0.5597  3 Se 2.64-2.75
Ag: 0.6247 0.0356 0.4403  3 Se 2.64-2.75
Ag: 0.6247 0.4644 0.4403  3 Se 2.64-2.75
Ag: 0.6487 0.5169 0.8228  3 Se 2.66-2.83
Ag: 0.6487 0.9831 0.8228  3 Se 2.66-2.83
Ag: 0.6662 0.6101 0.2157  4 Se 2.68-2.83
Ag: 0.6662 0.8899 0.2157  4 Se 2.68-2.83
Ag: 0.7177 0.0691 0.0554  3 Se 2.61-2.70
Ag: 0.7177 0.4309 0.0554  3 Se 2.61-2.70
Ag: 0.7301 0.2500 0.3695  2 Se 2.69-2.72, 2 Ag 3.00
Ag: 0.7699 0.7500 0.8695  2 Se 2.69-2.72, 2 Ag 3.00
Ag: 0.7823 0.5691 0.5554  3 Se 2.61-2.70
Ag: 0.7823 0.9309 0.5554  3 Se 2.61-2.70
Ag: 0.8338 0.1101 0.7157  4 Se 2.68-2.83
Ag: 0.8338 0.3899 0.7157  4 Se 2.68-2.83
Ag: 0.8513 0.0169 0.3228  3 Se 2.66-2.83
Ag: 0.8513 0.4831 0.3228  3 Se 2.66-2.83
Ag: 0.8753 0.5356 0.9403  3 Se 2.64-2.75
Ag: 0.8753 0.9644 0.9403  3 Se 2.64-2.75
As: 0.2165 0.2500 0.2954  3 Se 2.43-2.46
As: 0.2203 0.2500 0.9461  3 Se 2.44-2.47
As: 0.2497 0.2500 0.6077  3 Se 2.45-2.47
As: 0.2503 0.7500 0.1077  3 Se 2.45-2.47
As: 0.2797 0.7500 0.4461  3 Se 2.44-2.47
As: 0.2835 0.7500 0.7954  3 Se 2.43-2.46
As: 0.7165 0.2500 0.2046  3 Se 2.43-2.46
As: 0.7203 0.2500 0.5539  3 Se 2.44-2.47
As: 0.7497 0.2500 0.8923  3 Se 2.45-2.47
As: 0.7503 0.7500 0.3923  3 Se 2.45-2.47
As: 0.7797 0.7500 0.0539  3 Se 2.44-2.47
As: 0.7835 0.7500 0.7046  3 Se 2.43-2.46
Se: 0.0127 0.2500 0.0321  1 As 2.47, 3 Ag 2.69-2.72
Se: 0.0543 0.2500 0.3924  1 As 2.43, 3 Ag 2.69-2.70
Se: 0.0808 0.0977 0.2322  1 As 2.46, 2 Ag 2.66-2.71
Se: 0.0808 0.4023 0.2322  1 As 2.46, 2 Ag 2.66-2.71
Se: 0.0981 0.0837 0.5638  1 As 2.45, 3 Ag 2.64-2.69
Se: 0.0981 0.4163 0.5638  1 As 2.45, 3 Ag 2.64-2.69
Se: 0.1150 0.2500 0.7128  1 As 2.47
Se: 0.1204 0.0886 0.8808  1 As 2.44, 2 Ag 2.61-2.68
Se: 0.1204 0.4114 0.8808  1 As 2.44, 2 Ag 2.61-2.68
Se: 0.3796 0.5886 0.3808  1 As 2.44, 2 Ag 2.61-2.68
Se: 0.3796 0.9114 0.3808  1 As 2.44, 2 Ag 2.61-2.68
Se: 0.3850 0.7500 0.2128  1 As 2.47
Se: 0.4019 0.5837 0.0638  1 As 2.45, 3 Ag 2.64-2.69
Se: 0.4019 0.9163 0.0638  1 As 2.45, 3 Ag 2.64-2.69
Se: 0.4192 0.5977 0.7322  1 As 2.46, 2 Ag 2.66-2.71
Se: 0.4192 0.9023 0.7322  1 As 2.46, 2 Ag 2.66-2.71
Se: 0.4457 0.7500 0.8924  1 As 2.43, 3 Ag 2.69-2.70
Se: 0.4873 0.7500 0.5321  1 As 2.47, 3 Ag 2.69-2.72
Se: 0.5127 0.2500 0.4679  1 As 2.47, 3 Ag 2.69-2.72
Se: 0.5543 0.2500 0.1076  1 As 2.43, 3 Ag 2.69-2.70
Se: 0.5808 0.0977 0.2678  1 As 2.46, 2 Ag 2.66-2.71
Se: 0.5808 0.4023 0.2678  1 As 2.46, 2 Ag 2.66-2.71
Se: 0.5981 0.0837 0.9362  1 As 2.45, 3 Ag 2.64-2.69
Se: 0.5981 0.4163 0.9362  1 As 2.45, 3 Ag 2.64-2.69
Se: 0.6150 0.2500 0.7872  1 As 2.47
Se: 0.6204 0.0886 0.6192  1 As 2.44, 2 Ag 2.61-2.68
Se: 0.6204 0.4114 0.6192  1 As 2.44, 2 Ag 2.61-2.68
Se: 0.8796 0.5886 0.1192  1 As 2.44, 2 Ag 2.61-2.68
Se: 0.8796 0.9114 0.1192  1 As 2.44, 2 Ag 2.61-2.68
Se: 0.8850 0.7500 0.2872  1 As 2.47
Se: 0.9019 0.5837 0.4362  1 As 2.45, 3 Ag 2.64-2.69
Se: 0.9019 0.9163 0.4362  1 As 2.45, 3 Ag 2.64-2.69
Se: 0.9192 0.5977 0.7678  1 As 2.46, 2 Ag 2.66-2.71
Se: 0.9192 0.9023 0.7678  1 As 2.46, 2 Ag 2.66-2.71
Se: 0.9457 0.7500 0.6076  1 As 2.43, 3 Ag 2.69-2.70
Se: 0.9873 0.7500 0.9679  1 As 2.47, 3 Ag 2.69-2.72

Computed properties:
- SG: Pnma (62)
- Calculated total energy: -3.482 eV per atom